# CaAc6Er2 PBE relaxed
data_CaAc6Er2
_chemical_formula_sum 'Ca1 Ac6 Er2'
_symmetry_space_group_name_H-M 'P -3 1 m'
_symmetry_Int_Tables_number 162
_symmetry_space_group_name_Hall '-P 3 2'
_cell_length_a 6.7047
_cell_length_b 6.7047
_cell_length_c 11.5743
_cell_angle_alpha 90.00
_cell_angle_beta 90.00
_cell_angle_gamma 120.00
loop_
_atom_site_label
_atom_site_fract_x
_atom_site_fract_y
_atom_site_fract_z
_atom_site_occupancy
Ca1 0.0000 0.0000 0.0000 1
Ac1 0.0000 0.3328 0.2605 1
Er1 0.3333 0.6667 0.5000 1
# Formation energy from the elements (meV per atom): 493.8
# Spin magnetization (μB/cell): 0.00
# D(E_F) (states/eV/cell): 12.21